Here is a relaxed structure of CuAgH2Au from Alexandria via LeMat-Bulk. Energies are from PBE.

Calculated values
DOS(E_F)   0.296 states/eV per atom
Electronic total energy   -2.934 eV/atom
V   14.27 A^3/atom

```
data_CuAgH2Au
_chemical_formula_sum 'Cu1 Ag1 H2 Au1'
_cell_length_a 3.5925
_cell_length_b 3.5925
_cell_length_c 5.5297
_cell_angle_alpha 90.00
_cell_angle_beta 90.00
_cell_angle_gamma 90.00
_space_group_name_H-M_alt 'P 4/m m m'
_space_group_IT_number 123
_space_group_name_Hall '-P 4 2'
loop_
_atom_site_label
_atom_site_fract_x
_atom_site_fract_y
_atom_site_fract_z
_atom_site_occupancy
Cu1 0.0000 0.0000 0.0000 1
Ag1 0.5000 0.5000 0.0000 1
H1 0.0000 0.5000 0.5000 1
Au1 0.5000 0.5000 0.5000 1
```



Here is a relaxed structure of CuAgHAu2 from Alexandria via LeMat-Bulk. Energies are from PBE.

Calculated values
DOS(E_F)   0.221 states/eV per atom
ΔE to the lowest computed polymorph   59.5 meV per atom
V   14.15 A^3/atom

```
data_CuAgHAu2
_chemical_formula_sum 'Cu1 Ag1 H1 Au2'
_cell_length_a 4.1278
_cell_length_b 4.1278
_cell_length_c 4.1523
_cell_angle_alpha 90.00
_cell_angle_beta 90.00
_cell_angle_gamma 90.00
_space_group_name_H-M_alt 'P 4/m m m'
_space_group_IT_number 123
_space_group_name_Hall '-P 4 2'
loop_
_atom_site_label
_atom_site_fract_x
_atom_site_fract_y
_atom_site_fract_z
_atom_site_occupancy
Cu1 0.0000 0.0000 0.0000 1
Ag1 0.5000 0.5000 0.0000 1
H1 0.5000 0.5000 0.5000 1
Au1 0.0000 0.5000 0.5000 1
```